Density functional theory data (meta-GGA SCAN) for LaTaOs2 at its PBEsol-relaxed geometry.

Cell: 4.6208 4.6208 4.6208 Å, 60.00 60.00 60.00°
Sites, in units of the cell vectors:
Os (0.0000, 0.0000, 0.0000)
Os (0.7500, 0.7500, 0.7500)
La (0.5000, 0.5000, 0.5000)
Ta (0.2500, 0.2500, 0.2500)

Computed properties:
Its space-group type is F-43m (216). For the formation enthalpy at 0 K, the calculation gives 11.05 kcal/mol of atoms.

---

Density functional theory data (meta-GGA SCAN) for BaTlVO4 at its PBEsol-relaxed geometry.

Cell: 5.8576 7.8718 10.4046 Å, 90.00 90.00 90.00°
Sites, in units of the cell vectors:
V (0.7500, 0.2229, 0.9204)
V (0.2500, 0.2771, 0.4204)
V (0.7500, 0.7229, 0.5796)
V (0.2500, 0.7771, 0.0796)
O (0.7500, 0.7951, 0.4232)
O (0.4949, 0.7097, 0.1547)
O (0.2500, 0.7049, 0.9232)
O (0.9949, 0.7903, 0.6547)
O (0.9949, 0.2903, 0.8453)
O (0.7500, 0.2951, 0.0768)
O (0.0051, 0.2097, 0.3453)
O (0.5051, 0.7903, 0.6547)
O (0.5051, 0.2903, 0.8453)
O (0.2500, 0.2049, 0.5768)
O (0.2500, 0.4945, 0.4260)
O (0.7500, 0.0055, 0.9260)
O (0.0051, 0.7097, 0.1547)
O (0.7500, 0.5055, 0.5740)
O (0.2500, 0.9945, 0.0740)
O (0.4949, 0.2097, 0.3453)
Ba (0.7500, 0.4943, 0.2986)
Ba (0.2500, 0.5057, 0.7014)
Ba (0.2500, 0.0057, 0.7986)
Ba (0.7500, 0.9943, 0.2014)
Tl (0.2500, 0.8313, 0.4290)
Tl (0.7500, 0.1687, 0.5710)
Tl (0.7500, 0.6687, 0.9290)
Tl (0.2500, 0.3313, 0.0710)

Computed properties:
Its space-group type is Pnma (62). The value obtained for the formation energy from raw total energies is -2583 meV per atom.

---

Density functional theory data (meta-GGA SCAN) for BeSi2Hg at its PBEsol-relaxed geometry.

Cell: 2.7966 3.2594 7.0713 Å, 90.02 90.00 90.00°
Sites, in units of the cell vectors:
Si (0.5000, 0.7501, 0.2721)
Si (0.0000, 0.2499, 0.0754)
Be (0.0000, 0.2503, 0.4271)
Hg (0.5000, 0.2498, 0.7253)

Computed properties:
Its space-group type is Pmm2 (25). The value obtained for the formation energy from raw total energies is 483 meV per atom.

---

Density functional theory data (meta-GGA SCAN) for Cs3TlCl6 at its PBEsol-relaxed geometry.

Cell: 8.0883 8.0883 8.0883 Å, 60.00 60.00 60.00°
Sites, in units of the cell vectors:
Tl (0.0000, 0.0000, 0.0000)
Cl (0.2250, 0.7750, 0.7750)
Cl (0.2250, 0.2250, 0.7750)
Cl (0.7750, 0.2250, 0.2250)
Cl (0.7750, 0.7750, 0.2250)
Cl (0.7750, 0.2250, 0.7750)
Cl (0.2250, 0.7750, 0.2250)
Cs (0.2500, 0.2500, 0.2500)
Cs (0.7500, 0.7500, 0.7500)
Cs (0.5000, 0.5000, 0.5000)

Computed properties:
Its space-group type is Fm-3m (225). The value obtained for the formation energy from raw total energies is -1639 meV per atom.

---

Density functional theory data (meta-GGA SCAN) for MgCo4Ge6 at its PBEsol-relaxed geometry.

Cell: 6.0773 6.0773 6.0773 Å, 90.06 119.97 119.97°
Sites, in units of the cell vectors:
Ge (0.0000, 0.5382, 0.8745)
Ge (0.0000, 0.8745, 0.5382)
Ge (0.5000, 0.0000, 0.5000)
Ge (0.6637, 0.1255, 0.1255)
Ge (0.3363, 0.4618, 0.4618)
Ge (0.5000, 0.5000, 0.0000)
Co (0.6414, 0.3991, 0.3991)
Co (0.0000, 0.2423, 0.6009)
Co (0.3586, 0.7577, 0.7577)
Co (0.0000, 0.6009, 0.2423)
Mg (0.0000, 0.0000, 0.0000)

Computed properties:
Its space-group type is I-42m (121). For the formation enthalpy at 0 K, the calculation gives -5.28 kcal/mol of atoms.

---

Density functional theory data (meta-GGA SCAN) for LaZnRe at its PBEsol-relaxed geometry.

Cell: 4.5262 4.5262 4.5262 Å, 60.00 60.00 60.00°
Sites, in units of the cell vectors:
Re (0.5000, 0.5000, 0.5000)
La (0.0000, 0.0000, 0.0000)
Zn (0.2500, 0.2500, 0.2500)

Computed properties:
Its space-group type is F-43m (216). For the formation enthalpy at 0 K, the calculation gives 17.30 kcal/mol of atoms.

---

Density functional theory data (meta-GGA SCAN) for LaRu at its PBEsol-relaxed geometry.

Cell: 4.8322 4.8374 4.8374 Å, 120.00 90.00 90.00°
Sites, in units of the cell vectors:
La (0.2500, 0.3333, 0.6667)
La (0.7500, 0.6667, 0.3333)
Ru (0.5000, 0.0000, 0.0000)
Ru (0.0000, 0.0000, 0.0000)

Computed properties:
Its space-group type is P6_3/mmc (194). For the formation enthalpy at 0 K, the calculation gives -6.89 kcal/mol of atoms.

---

Density functional theory data (meta-GGA SCAN) for TlWS3 at its PBEsol-relaxed geometry.

Cell: 4.7034 4.7034 4.7034 Å, 90.00 90.00 90.00°
Sites, in units of the cell vectors:
S (0.5000, 0.0000, 0.0000)
S (0.0000, 0.0000, 0.5000)
S (0.0000, 0.5000, 0.0000)
Tl (0.5000, 0.5000, 0.5000)
W (0.0000, 0.0000, 0.0000)

Computed properties:
Its space-group type is Pm-3m (221). The value obtained for the formation energy from raw total energies is -262 meV per atom.

---

Density functional theory data (meta-GGA SCAN) for SrCa2Se at its PBEsol-relaxed geometry.

Cell: 4.0877 4.0877 10.4734 Å, 78.75 78.75 60.00°
Sites, in units of the cell vectors:
Ca (0.0030, 0.0030, 0.9910)
Ca (0.7743, 0.7743, 0.6771)
Se (0.4961, 0.4961, 0.5118)
Sr (0.2266, 0.2266, 0.3202)

Computed properties:
Its space-group type is R3m (160). The value obtained for the formation energy from raw total energies is -1057 meV per atom.

---

Density functional theory data (meta-GGA SCAN) for Rb2CrCuSe at its PBEsol-relaxed geometry.

Cell: 4.7648 6.5275 6.5275 Å, 90.00 90.00 90.00°
Sites, in units of the cell vectors:
Se (0.0000, 0.0000, 0.0000)
Cr (0.5000, 0.0000, 0.0000)
Rb (0.0000, 0.5000, 0.0000)
Rb (0.0000, 0.0000, 0.5000)
Cu (0.5000, 0.5000, 0.5000)

Computed properties:
Its space-group type is P4/mmm (123). The value obtained for the formation energy from raw total energies is -19 meV per atom.

---

Density functional theory data (meta-GGA SCAN) for TaMo5 at its PBEsol-relaxed geometry.

Cell: 2.7375 2.7375 13.2980 Å, 90.00 90.00 109.76°
Sites, in units of the cell vectors:
Mo (0.5000, 0.5000, 0.8352)
Mo (0.0000, 0.0000, 0.3284)
Mo (0.5000, 0.5000, 0.1648)
Mo (0.0000, 0.0000, 0.0000)
Mo (0.0000, 0.0000, 0.6716)
Ta (0.5000, 0.5000, 0.5000)

Computed properties:
Its space-group type is Cmmm (65). For the formation enthalpy at 0 K, the calculation gives -1.18 kcal/mol of atoms.

---

Density functional theory data (meta-GGA SCAN) for ReW5 at its PBEsol-relaxed geometry.

Cell: 3.1389 4.4434 6.8457 Å, 90.00 103.24 90.00°
Sites, in units of the cell vectors:
W (0.6655, 0.5000, 0.3314)
W (0.8332, 0.0000, 0.6667)
W (0.0000, 0.5000, 0.0000)
W (0.1668, 0.0000, 0.3333)
W (0.3345, 0.5000, 0.6686)
Re (0.5000, 0.0000, 0.0000)

Computed properties:
Its space-group type is Cmmm (65). For the formation enthalpy at 0 K, the calculation gives 0.21 kcal/mol of atoms.

---

Density functional theory data (meta-GGA SCAN) for Cd2TcOsO at its PBEsol-relaxed geometry.

Cell: 3.6988 4.6868 4.6868 Å, 90.00 90.00 90.00°
Sites, in units of the cell vectors:
Os (0.5000, 0.0000, 0.0000)
Tc (0.5000, 0.5000, 0.5000)
O (0.0000, 0.0000, 0.0000)
Cd (0.0000, 0.5000, 0.0000)
Cd (0.0000, 0.0000, 0.5000)

Computed properties:
Its space-group type is P4/mmm (123). The value obtained for the formation energy from raw total energies is 636 meV per atom.

---

Density functional theory data (meta-GGA SCAN) for MgPb2W at its PBEsol-relaxed geometry.

Cell: 3.2462 4.8071 5.5792 Å, 90.00 90.00 90.00°
Sites, in units of the cell vectors:
Pb (0.5000, 0.0000, 0.5000)
Pb (0.0000, 0.0000, 0.0000)
W (0.5000, 0.5000, 0.0000)
Mg (0.0000, 0.5000, 0.5000)

Computed properties:
Its space-group type is Pmmm (47). For the formation enthalpy at 0 K, the calculation gives 18.53 kcal/mol of atoms.

---

Density functional theory data (meta-GGA SCAN) for MgIrAu at its PBEsol-relaxed geometry.

Cell: 2.7767 2.7767 6.9370 Å, 96.59 96.59 115.28°
Sites, in units of the cell vectors:
Mg (0.3293, 0.3293, 0.6587)
Au (0.9963, 0.9963, 0.9926)
Ir (0.6744, 0.6744, 0.3487)

Computed properties:
Its space-group type is Fmm2 (42). For the formation enthalpy at 0 K, the calculation gives -2.05 kcal/mol of atoms.

---

Density functional theory data (meta-GGA SCAN) for MgZn7 at its PBEsol-relaxed geometry.

Cell: 5.5318 5.5318 5.5318 Å, 60.00 60.00 60.00°
Sites, in units of the cell vectors:
Zn (0.5000, 0.5000, 0.0000)
Zn (0.0000, 0.5000, 0.5000)
Zn (0.0000, 0.0000, 0.5000)
Zn (0.5000, 0.5000, 0.5000)
Zn (0.5000, 0.0000, 0.0000)
Zn (0.5000, 0.0000, 0.5000)
Zn (0.0000, 0.5000, 0.0000)
Mg (0.0000, 0.0000, 0.0000)

Computed properties:
Its space-group type is Fm-3m (225). For the formation enthalpy at 0 K, the calculation gives 0.21 kcal/mol of atoms.

---

Density functional theory data (meta-GGA SCAN) for MnCu2W at its PBEsol-relaxed geometry.

Cell: 2.5978 3.6261 5.3120 Å, 90.00 90.00 90.00°
Sites, in units of the cell vectors:
Mn (0.0000, 0.0000, 0.4965)
Cu (0.0000, 0.0000, 0.0194)
Cu (0.5000, 0.5000, 0.2420)
W (0.5000, 0.5000, 0.7421)

Computed properties:
Its space-group type is Pmm2 (25). For the formation enthalpy at 0 K, the calculation gives 4.99 kcal/mol of atoms.

---

Density functional theory data (meta-GGA SCAN) for BeZn2Pt at its PBEsol-relaxed geometry.

Cell: 3.6387 3.6387 4.5881 Å, 113.36 113.36 90.00°
Sites, in units of the cell vectors:
Be (0.5000, 0.5000, 0.0000)
Pt (0.2500, 0.7500, 0.5000)
Zn (0.0000, 0.0000, 0.0000)
Zn (0.7500, 0.2500, 0.5000)

Computed properties:
Its space-group type is I-4m2 (119). For the formation enthalpy at 0 K, the calculation gives -10.32 kcal/mol of atoms.

---

Density functional theory data (meta-GGA SCAN) for CsSr3Bi at its PBEsol-relaxed geometry.

Cell: 5.9672 5.9672 5.9672 Å, 90.00 90.00 90.00°
Sites, in units of the cell vectors:
Sr (0.0000, 0.0000, 0.5000)
Sr (0.0000, 0.5000, 0.0000)
Sr (0.5000, 0.0000, 0.0000)
Cs (0.0000, 0.0000, 0.0000)
Bi (0.5000, 0.5000, 0.5000)

Computed properties:
Its space-group type is Pm-3m (221). For the formation enthalpy at 0 K, the calculation gives 18.13 kcal/mol of atoms.

---

Density functional theory data (meta-GGA SCAN) for TaMn2Cl at its PBEsol-relaxed geometry.

Cell: 3.0802 3.0802 7.8452 Å, 78.68 78.68 60.00°
Sites, in units of the cell vectors:
Ta (0.5000, 0.5000, 0.5000)
Cl (0.0000, 0.0000, 0.0000)
Mn (0.7499, 0.7499, 0.7503)
Mn (0.2501, 0.2501, 0.2497)

Computed properties:
Its space-group type is R-3m (166). The value obtained for the formation energy from raw total energies is -207 meV per atom.

---

Density functional theory data (meta-GGA SCAN) for TaW2Cl at its PBEsol-relaxed geometry.

Cell: 2.8469 2.8469 8.8175 Å, 90.00 90.00 113.45°
Sites, in units of the cell vectors:
Cl (0.5000, 0.5000, 0.5000)
Ta (0.5000, 0.5000, 0.0000)
W (0.0000, 0.0000, 0.2481)
W (0.0000, 0.0000, 0.7519)

Computed properties:
Its space-group type is Cmmm (65). The value obtained for the formation energy from raw total energies is 466 meV per atom.

---

Density functional theory data (meta-GGA SCAN) for BaMnW2 at its PBEsol-relaxed geometry.

Cell: 4.1016 4.1032 6.7925 Å, 107.57 90.00 119.99°
Sites, in units of the cell vectors:
W (0.1992, 0.3983, 0.0975)
W (0.8008, 0.6017, 0.9025)
Ba (0.0000, 0.0000, 0.5000)
Mn (0.5000, 0.0000, 0.0000)

Computed properties:
Its space-group type is R-3m (166). For the formation enthalpy at 0 K, the calculation gives 20.03 kcal/mol of atoms.

---

Density functional theory data (meta-GGA SCAN) for Sr6Li23 at its PBEsol-relaxed geometry.

Cell: 10.3577 10.3577 10.3577 Å, 60.00 60.00 60.00°
Sites, in units of the cell vectors:
Li (0.1773, 0.1773, 0.1773)
Li (0.8227, 0.8227, 0.5318)
Li (0.6211, 0.1368, 0.6211)
Li (0.3789, 0.3789, 0.8632)
Li (0.6211, 0.6211, 0.1368)
Li (0.0000, 0.5000, 0.5000)
Li (0.8632, 0.3789, 0.3789)
Li (0.3789, 0.8632, 0.3789)
Li (0.8227, 0.5318, 0.8227)
Li (0.8227, 0.8227, 0.8227)
Li (0.3789, 0.3789, 0.3789)
Li (0.5000, 0.5000, 0.0000)
Li (0.1368, 0.6211, 0.6211)
Li (0.5000, 0.0000, 0.0000)
Li (0.6211, 0.6211, 0.6211)
Li (0.4682, 0.1773, 0.1773)
Li (0.5000, 0.5000, 0.5000)
Li (0.0000, 0.5000, 0.0000)
Li (0.1773, 0.4682, 0.1773)
Li (0.1773, 0.1773, 0.4682)
Li (0.0000, 0.0000, 0.5000)
Li (0.5318, 0.8227, 0.8227)
Li (0.5000, 0.0000, 0.5000)
Sr (0.2046, 0.2046, 0.7954)
Sr (0.7954, 0.2046, 0.2046)
Sr (0.2046, 0.7954, 0.2046)
Sr (0.7954, 0.2046, 0.7954)
Sr (0.7954, 0.7954, 0.2046)
Sr (0.2046, 0.7954, 0.7954)

Computed properties:
Its space-group type is Fm-3m (225). For the formation enthalpy at 0 K, the calculation gives -0.19 kcal/mol of atoms.

---

Density functional theory data (meta-GGA SCAN) for TcOs at its PBEsol-relaxed geometry.

Cell: 4.3200 4.7201 5.4592 Å, 90.00 90.00 90.00°
Sites, in units of the cell vectors:
Os (0.7500, 0.9174, 0.6260)
Os (0.2500, 0.0826, 0.3740)
Os (0.7500, 0.4174, 0.8740)
Os (0.2500, 0.5826, 0.1260)
Tc (0.2500, 0.0844, 0.8763)
Tc (0.2500, 0.5844, 0.6237)
Tc (0.7500, 0.9156, 0.1237)
Tc (0.7500, 0.4156, 0.3763)

Computed properties:
Its space-group type is Pnma (62). For the formation enthalpy at 0 K, the calculation gives -2.72 kcal/mol of atoms.

---

Density functional theory data (meta-GGA SCAN) for MnReTeN2 at its PBEsol-relaxed geometry.

Cell: 3.8434 3.8434 5.6055 Å, 90.00 90.00 90.00°
Sites, in units of the cell vectors:
N (0.0000, 0.5000, 0.0000)
N (0.5000, 0.0000, 0.0000)
Te (0.0000, 0.0000, 0.5000)
Mn (0.5000, 0.5000, 0.5000)
Re (0.0000, 0.0000, 0.0000)

Computed properties:
Its space-group type is P4/mmm (123). The value obtained for the formation energy from raw total energies is 354 meV per atom.

---

Density functional theory data (meta-GGA SCAN) for Co2P2O7 at its PBEsol-relaxed geometry.

Cell: 4.5626 5.1748 5.1748 Å, 102.97 97.78 97.78°
Sites, in units of the cell vectors:
O (0.7036, 0.3794, 0.3794)
O (0.5000, 0.0000, 0.0000)
O (0.7830, 0.6161, 0.9303)
O (0.2964, 0.6206, 0.6206)
O (0.2170, 0.3839, 0.0697)
O (0.2170, 0.0697, 0.3839)
O (0.7830, 0.9303, 0.6161)
Co (0.0000, 0.3232, 0.6768)
Co (0.0000, 0.6768, 0.3232)
P (0.5994, 0.7822, 0.7822)
P (0.4006, 0.2178, 0.2178)

Computed properties:
Its space-group type is C2/m (12). The value obtained for the formation energy from raw total energies is -2038 meV per atom.

---

Calculated calculated total energy in order - -62.883; -24.629; -22.655; -25.005; -17.385; -41.822; -39.265; -34.448; -16.477; -19.048; -40.219; -69.914; -34.164; -55.752; -48.499; -12.438; -29.369; -25.842; -35.857; -27.975; -53.018; -48.427; -6.512; -53.588; -28.684; -11.040 eV/atom
Calculated volume in order - 70; 480; 64; 374; 159; 66; 98; 104; 148; 203; 94; 93; 81; 87; 47; 120; 50; 50; 212; 63; 66; 93; 786; 111; 83; 116 Å³ per cell